This record from the Open Quantum Materials Database describes a relaxed structure of NdHo. The functional is PBE.

Lattice parameters (Å, degrees): 3.6476 3.6476 5.7682 90.00 90.00 120.00
Element x y z (fractional)
Nd 0.0000 0.0000 0.0000
Ho 0.3333 0.6667 0.5000

Calculated values
Total magnetization   0.00 μB/cell
Calculated formation energy   0.033 eV/atom
Space group   P-6m2 (187)
Total DFT energy (no corrections)   -4.6365 eV/atom
Relative energy among the computed polymorphs   0 meV/atom

=====

This record from the Open Quantum Materials Database describes a relaxed structure of InAg3OsO4. The functional is PBE.

Lattice parameters (Å, degrees): 5.2694 5.2694 5.2694 90.00 90.00 90.00
Element x y z (fractional)
In 0.0000 0.0000 0.0000
Ag 0.0000 0.5000 0.5000
Ag 0.5000 0.0000 0.5000
Ag 0.5000 0.5000 0.0000
Os 0.5000 0.5000 0.5000
O 0.2359 0.2359 0.2359
O 0.2359 0.7641 0.7641
O 0.7641 0.2359 0.7641
O 0.7641 0.7641 0.2359

Calculated values
Total magnetization   4.24 μB/cell
Space group   P-43m (215)
Total DFT energy (no corrections)   -4.4946 eV/atom

=====

This record from the Open Quantum Materials Database describes a relaxed structure of YLuSn. The functional is PBE.

Lattice parameters (Å, degrees): 5.0763 5.0763 5.0763 60.00 60.00 60.00
Element x y z (fractional)
Y 0.0000 0.0000 0.0000
Lu 0.5000 0.5000 0.5000
Sn 0.7500 0.7500 0.7500

Calculated values
Total magnetization   0.00 μB/cell
Space group   F-43m (216)
Total DFT energy (no corrections)   -5.3645 eV/atom
Relative energy among the computed polymorphs   0 meV/atom

=====

This record from the Open Quantum Materials Database describes a relaxed structure of ErPaTa. The functional is PBE.

Lattice parameters (Å, degrees): 4.8830 4.8830 4.8830 60.00 60.00 60.00
Element x y z (fractional)
Er 0.0000 0.0000 0.0000
Pa 0.2500 0.2500 0.2500
Ta 0.5000 0.5000 0.5000

Calculated values
Total magnetization   0.12 μB/cell
Calculated formation energy   1.292 eV/atom
Space group   F-43m (216)
Total DFT energy (no corrections)   -7.3449 eV/atom
Relative energy among the computed polymorphs   0 meV/atom

=====

This record from the Open Quantum Materials Database describes a relaxed structure of NbBiN2O. The functional is PBE.

Lattice parameters (Å, degrees): 5.5487 5.5933 6.0982 90.93 116.66 118.87
Element x y z (fractional)
Nb 0.0000 0.0000 0.0000
Nb 0.4128 0.6890 0.1272
Bi 0.3929 0.1781 0.6537
Bi 0.9345 0.4517 0.4716
N 0.1575 0.8431 0.8380
N 0.4354 0.3762 0.2822
N 0.8587 0.0074 0.2935
N 0.9250 0.2513 0.8087
O 0.2449 0.8041 0.3022
O 0.5425 0.6314 0.8504

Calculated values
Total magnetization   0.00 μB/cell
Space group   P1 (1)
Total DFT energy (no corrections)   -7.8097 eV/atom

=====

This record from the Open Quantum Materials Database describes a relaxed structure of Pm3AsI. The functional is PBE.

Lattice parameters (Å, degrees): 5.6991 5.6991 5.6991 90.00 90.00 90.00
Element x y z (fractional)
Pm 0.0000 0.0000 0.5000
Pm 0.0000 0.5000 0.0000
Pm 0.5000 0.0000 0.0000
As 0.5000 0.5000 0.5000
I 0.0000 0.0000 0.0000

Calculated values
Total magnetization   0.03 μB/cell
Space group   Pm-3m (221)
Total DFT energy (no corrections)   -3.8595 eV/atom